This record from Alexandria via LeMat-Bulk describes La2PuOs2 after structural relaxation. The functional is PBE-GGA.

```
La2PuOs2
1.0
6.0746 0.0000 0.0000
-3.0373 5.0321 0.2476
0.0000 -1.9640 7.9195
La Pu Os
4 2 4
direct
0.7790 0.2999 0.6503
0.2210 0.7001 0.3497
0.4792 0.7001 0.8497
0.5208 0.2999 0.1503
0.1181 0.0000 0.7500
0.8819 0.0000 0.2500
0.7285 0.7265 0.4912
0.0020 0.2735 0.0088
0.2715 0.2735 0.5088
0.9980 0.7265 0.9912
```

Computed properties:
- magnetic moment (μB/f.u.) = 4.8
- formation energy from the elements (eV per atom) = -0.125



This record from Alexandria via LeMat-Bulk describes Pm12YCo6 after structural relaxation. The functional is PBE-GGA.

```
Pm12YCo6
1.0
8.1859 0.0000 -2.8941
-4.0929 7.0892 -2.8941
0.0000 0.0000 8.6824
Co Y Pm
6 1 12
direct
0.3885 0.5000 0.8885
0.8885 0.3885 0.5000
0.6115 0.5000 0.1115
0.1115 0.6115 0.5000
0.5000 0.1115 0.6115
0.5000 0.8885 0.3885
0.0000 0.0000 0.0000
0.8052 0.6899 0.4951
0.8847 0.1948 0.6899
0.6899 0.8847 0.1948
0.6899 0.4951 0.8052
0.8052 0.3101 0.1153
0.1948 0.3101 0.5049
0.3101 0.1153 0.8052
0.1153 0.8052 0.3101
0.4951 0.8052 0.6899
0.3101 0.5049 0.1948
0.1948 0.6899 0.8847
0.5049 0.1948 0.3101
```

Computed properties:
- magnetic moment (μB/f.u.) = 0.0
- formation energy from the elements (eV per atom) = -0.062



This record from Alexandria via LeMat-Bulk describes CaPrGdEr after structural relaxation. The functional is PBE-GGA.

```
CaPrGdEr
1.0
-4.5585 -3.2013 -1.6386
0.6176 -4.0278 -4.1364
-0.2352 -5.6357 1.3774
Pr Gd Ca Er
1 1 1 1
direct
0.5000 0.5000 0.5000
0.0000 0.0000 0.0000
0.2500 0.2500 0.2500
0.7500 0.7500 0.7500
```

Computed properties:
- magnetic moment (μB/f.u.) = 7.5
- formation energy from the elements (eV per atom) = 0.118



This record from Alexandria via LeMat-Bulk describes MnSi2Sb after structural relaxation. The functional is PBE-GGA.

```
MnSi2Sb
1.0
4.3511 0.0000 0.0000
0.0000 3.9382 0.0048
0.0000 0.4736 4.4184
Si Sb Mn
2 1 1
direct
0.0000 0.0168 0.0923
0.0000 0.4832 0.4077
0.5000 0.7500 0.7500
0.5000 0.2500 0.2500
```

Computed properties:
- magnetic moment (μB/f.u.) = 3.1
- uncorrected formation energy (eV/f.u.) = 1.304



This record from Alexandria via LeMat-Bulk describes ScTi4Ir5 after structural relaxation. The functional is PBE-GGA.

```
ScTi4Ir5
1.0
2.9614 0.0000 0.0000
0.0000 2.9614 0.0000
0.0000 0.0000 17.6737
Ir Ti Sc
5 4 1
direct
0.5000 0.5000 0.8879
0.5000 0.5000 0.5000
0.5000 0.5000 0.3020
0.5000 0.5000 0.1121
0.5000 0.5000 0.6980
0.0000 0.0000 0.4007
0.0000 0.0000 0.5993
0.0000 0.0000 0.7970
0.0000 0.0000 0.2030
0.0000 0.0000 0.0000
```

Computed properties:
- magnetic moment (μB/f.u.) = 0.0
- formation energy from the elements (eV per atom) = -0.862